Entry 1:
Density functional theory data (PBE-GGA) for an optimized crystal structure of Pm5Y6Tm.

Calculated values
- formation energy (meV per atom) = 14

a b c (Å): 11.878 6.237 6.234
angles (deg): 59.98 85.01 79.98
Element x y z (fractional)
Y  0.751  0.083  0.333
Y  0.249  0.250  0.000
Y  0.249  0.585  0.333
Y  0.751  0.750  0.000
Y  0.751  0.415  0.667
Y  0.249  0.917  0.667
Pm  0.500  0.167  0.667
Pm  0.000  0.667  0.667
Pm  0.500  0.500  0.000
Pm  0.500  0.833  0.333
Pm  0.000  0.333  0.333
Tm  0.000  0.000  0.000

Entry 2:
Density functional theory data (PBE-GGA) for an optimized crystal structure of Ba2TiNb.

Calculated values
- formation energy (meV per atom) = 1405
- distance to the lowest polymorph of the same formula (kJ/mol of formula units) = 54

a b c (Å): 9.112 9.112 7.178
angles (deg): 50.60 50.60 90.00
Element x y z (fractional)
Nb  0.750  0.250  0.500
Nb  0.000  0.000  0.000
Ba  0.116  0.625  0.250
Ba  0.375  0.366  0.750
Ba  0.875  0.884  0.750
Ba  0.634  0.125  0.250
Ti  0.250  0.750  0.500
Ti  0.500  0.500  0.000

Entry 3:
Density functional theory data (PBE-GGA) for an optimized crystal structure of Zn2PBr.

Calculated values
- distance to the lowest polymorph of the same formula (kJ/mol of formula units) = 205
- ΔE_f (raw) (eV/f.u.) = 0.3

a b c (Å): 5.783 5.783 5.783
angles (deg): 143.76 102.20 88.97
Element x y z (fractional)
Br  0.000  0.500  0.500
Zn  0.712  0.000  0.712
Zn  0.288  0.000  0.288
P  0.500  0.500  0.000

Entry 4:
Density functional theory data (PBE-GGA) for an optimized crystal structure of ZrBe.

Calculated values
- formation energy (meV per atom) = 52

a b c (Å): 7.429 7.429 4.075
angles (deg): 90.00 90.00 120.00
Element x y z (fractional)
Be  0.569  0.431  0.750
Be  0.431  0.862  0.250
Be  0.138  0.569  0.250
Be  0.431  0.569  0.250
Be  0.862  0.431  0.750
Be  0.569  0.138  0.750
Zr  0.173  0.827  0.750
Zr  0.173  0.347  0.750
Zr  0.827  0.653  0.250
Zr  0.827  0.173  0.250
Zr  0.347  0.173  0.250
Zr  0.653  0.827  0.750

Entry 5:
Density functional theory data (PBE-GGA) for an optimized crystal structure of NiBr3.

Calculated values
- ΔE_f (raw) (eV/f.u.) = 3.4

a b c (Å): 4.617 4.617 4.617
angles (deg): 90.00 90.00 90.00
Element x y z (fractional)
Ni  0.000  0.000  0.000
Br  0.500  0.000  0.500
Br  0.500  0.500  0.000
Br  0.000  0.500  0.500

Entry 6:
Density functional theory data (PBE-GGA) for an optimized crystal structure of NdTm4In2.

Calculated values
- formation energy (meV per atom) = 209

a b c (Å): 5.716 5.716 7.646
angles (deg): 111.95 111.95 90.00
Element x y z (fractional)
In  0.374  0.374  0.749
In  0.626  0.626  0.251
Tm  0.000  0.500  0.000
Tm  0.750  0.250  0.500
Tm  0.250  0.750  0.500
Tm  0.500  0.000  0.000
Nd  0.000  0.000  0.000